The following is a PBE calculation of Pr2GdCd after structural relaxation, from Alexandria via LeMat-Bulk.

Geometry as POSCAR:
```
Pr2GdCd
1.0
3.7748 0.0000 0.0000
0.0000 3.7748 0.0000
0.0000 0.0000 8.9635
Cd Gd Pr
1 1 2
direct
0.5000 0.5000 0.0000
0.5000 0.5000 0.5000
0.0000 0.0000 0.2263
0.0000 0.0000 0.7737
```

Space-group type: P4/mmm (123)
Excess energy over the best structure of this formula in the dataset, meV/atom: 0
Formation energy from the elements, meV per atom: -142
Spin magnetization, μB/f.u.: 7.56
V, Å³/cell: 128

The following is a PBE calculation of Sc2NiC after structural relaxation, from Alexandria via LeMat-Bulk.

Geometry as POSCAR:
```
Sc2NiC
1.0
-5.2252 -0.9153 -3.3884
3.4370 -2.5661 -4.6069
-1.2668 -4.7131 -2.6200
Sc C Ni
4 2 2
direct
0.1805 0.6250 0.2500
0.8750 0.8195 0.7500
0.5695 0.1250 0.2500
0.3750 0.4305 0.7500
0.2500 0.7500 0.5000
0.5000 0.5000 0.0000
0.7500 0.2500 0.5000
0.0000 0.0000 0.0000
```

Space-group type: I-42d (122)
Formation energy from the elements, meV per atom: 20
Spin magnetization, μB/f.u.: 0.00
V, Å³/cell: 131

The following is a PBE calculation of Ce2Tm3Tl4 after structural relaxation, from Alexandria via LeMat-Bulk.

Geometry as POSCAR:
```
Ce2Tm3Tl4
1.0
7.0811 0.0000 0.0000
0.0000 8.9811 0.0000
-3.5406 0.0000 8.4114
Ce Tm Tl
4 6 8
direct
0.1085 0.5789 0.2170
0.8915 0.4211 0.7830
0.6085 0.9211 0.2170
0.3915 0.0789 0.7830
0.9674 0.2500 0.4349
0.4674 0.2500 0.4349
0.0326 0.7500 0.5651
0.5000 0.5000 0.0000
0.5326 0.7500 0.5651
0.0000 0.0000 0.0000
0.2877 0.2500 0.0754
0.8178 0.0444 0.6356
0.1822 0.9556 0.3644
0.7123 0.7500 0.9246
0.2123 0.7500 0.9246
0.3178 0.4556 0.6356
0.7877 0.2500 0.0754
0.6822 0.5444 0.3644
```

Space-group type: Cmce (64)
Formation energy from the elements, meV per atom: -154
Spin magnetization, μB/f.u.: 2.18
V, Å³/cell: 535

The following is a PBE calculation of TlCuSb after structural relaxation, from Alexandria via LeMat-Bulk.

Geometry as POSCAR:
```
TlCuSb
1.0
-1.2450 -1.0852 3.9483
2.8870 -3.1591 0.0421
5.6694 5.2240 3.2235
Tl Cu Sb
2 2 2
direct
0.5000 0.0000 0.1478
0.0000 0.5000 0.8522
0.0000 0.0000 0.5000
0.5000 0.5000 0.5000
0.0000 0.5000 0.3109
0.5000 0.0000 0.6891
```

Space-group type: P4/nmm (129)
Excess energy over the best structure of this formula in the dataset, meV/atom: 0
Formation energy without anion corrections, eV/atom: 0.052
Spin magnetization, μB/f.u.: 0.00
V, Å³/cell: 153

The following is a PBE calculation of ScFeGe after structural relaxation, from Alexandria via LeMat-Bulk.

Geometry as POSCAR:
```
ScFeGe
1.0
-2.0002 -1.9017 -1.5794
-0.6312 -1.5715 2.6914
-2.1527 4.6482 0.3307
Ge Fe Sc
1 1 1
direct
0.3109 0.3109 0.6217
0.9263 0.9263 0.8525
0.6129 0.6129 0.2258
```

Space-group type: I4mm (107)
Formation energy from the elements, meV per atom: -334
Spin magnetization, μB/f.u.: 0.89
V, Å³/cell: 47

The following is a PBE calculation of ThBePd3 after structural relaxation, from Alexandria via LeMat-Bulk.

Geometry as POSCAR:
```
ThBePd3
1.0
-3.0757 1.5752 2.1979
2.5592 0.6193 3.1374
0.8498 5.8243 0.8309
Pd Th Be
3 1 1
direct
0.8160 0.6192 0.0740
0.6330 0.9367 0.4389
0.1335 0.4367 0.4390
0.3949 0.1984 0.9155
0.0304 0.8342 0.6438
```

Space-group type: I4mm (107)
Excess energy over the best structure of this formula in the dataset, meV/atom: 0
Formation energy from the elements, meV per atom: -720
Spin magnetization, μB/f.u.: 0.00
V, Å³/cell: 87

The following is a PBE calculation of LaSi3Ru after structural relaxation, from Alexandria via LeMat-Bulk.

Geometry as POSCAR:
```
LaSi3Ru
1.0
5.3042 0.0000 0.0000
0.0000 5.3042 0.0000
0.0000 0.0000 5.3042
La Si Ru
1 3 1
direct
0.0000 0.0000 0.0000
0.0000 0.0000 0.5000
0.0000 0.5000 0.0000
0.5000 0.0000 0.0000
0.5000 0.5000 0.5000
```

Space-group type: Pm-3m (221)
Formation energy without anion corrections, eV/atom: 2.073
Spin magnetization, μB/f.u.: 2.24
V, Å³/cell: 149

The following is a PBE calculation of Sm2DyCu2Si2 after structural relaxation, from Alexandria via LeMat-Bulk.

Geometry as POSCAR:
```
Sm2DyCu2Si2
1.0
-0.2592 1.5265 -3.8099
0.8778 -2.3836 -3.2343
-10.0773 -3.3540 -2.8778
Sm Cu Si Dy
2 2 2 1
direct
0.8811 0.8811 0.3568
0.1189 0.1189 0.6432
0.6080 0.6080 0.1760
0.3920 0.3920 0.8240
0.7263 0.7263 0.8212
0.2737 0.2737 0.1788
0.0000 0.0000 0.0000
```

Space-group type: R-3m (166)
Formation energy without anion corrections, eV/atom: -0.498
Spin magnetization, μB/f.u.: 0.00
V, Å³/cell: 157

| no. | N(E_F) (states/eV per cell) |
| --- | --- |
| 1 | 5.23 |
| 2 | 2.33 |
| 3 | 39.07 |
| 4 | 2.56 |
| 5 | 1.32 |
| 6 | 2.32 |
| 7 | 5.81 |
| 8 | 7.05 |